(1)
Here is Ba2RuAu2 after structural relaxation from the Alexandria database. Energies are from PBE.

Symmetry: P4/mbm
Energy of formation, eV/atom: -0.007
Polymorph energy (0 for the lowest one), meV/atom: 0
DOS(E_F), states/eV/atom: 0.978

Lattice parameters (Å, degrees): 7.509 7.509 4.977 90.00 90.00 90.00
Fractional positions:
Ba (0.176, 0.324, 0.000)
Ba (0.324, 0.824, 0.000)
Ba (0.676, 0.176, 0.000)
Ba (0.824, 0.676, 0.000)
Ru (0.000, 0.000, 0.500)
Ru (0.500, 0.500, 0.500)
Au (0.142, 0.642, 0.500)
Au (0.358, 0.142, 0.500)
Au (0.642, 0.858, 0.500)
Au (0.858, 0.358, 0.500)

(2)
Here is Ba2RuAu after structural relaxation from the Alexandria database. Energies are from PBE.

Symmetry: Imm2
Energy of formation, eV/atom: 0.108
DOS(E_F), states/eV/atom: 0.977

Lattice parameters (Å, degrees): 7.904 7.904 7.904 146.01 145.79 48.99
Fractional positions:
Ba (0.000, 0.000, 0.000)
Ba (0.741, 0.241, 0.500)
Ru (0.148, 0.648, 0.500)
Au (0.573, 0.573, 0.000)

How do the records compare in volume? In the order shown, they have 28.06; 38.62 Å³ per atom.
How do the records compare in spin magnetization? In the order shown, they have 0.62; 0.00 Bohr magnetons per cell.